Entry 1:
Computed, not measured: an optimized crystal structure of HfThSc4 at the PBE level of DFT.

Properties
V	25.14	A^3/atom
energy above the lowest structure with this stoichiometry	3.1	meV/atom
E_tot	-7.069	eV/atom
DFT formation energy	0.048	eV per atom
DOS(E_F)	15.567	states/eV per cell

a = 14.3201 Å, b = 3.3235 Å, c = 6.5134 Å
α = 90.00°, β = 103.31°, γ = 90.00°
With the nearest neighbours (Å) after each atom.
Space group C2/m (No. 12)
Symmetry-distinct sites (fractional):
Hf 0.0000 0.0000 0.0000 (multiplicity 2)  8 Sc 3.23-3.24, 2 Th 3.26, 2 Hf 3.32
Th 0.0000 0.0000 0.5000 (multiplicity 2)  2 Hf 3.26, 8 Sc 3.28, 2 Th 3.32
Sc 0.1629 0.5000 0.3247 (multiplicity 4)  8 Sc 3.17-3.40, 2 Hf 3.23, 2 Th 3.28
Sc 0.1640 0.5000 0.8390 (multiplicity 4)  8 Sc 3.17-3.36, 2 Hf 3.24, 2 Th 3.28

Entry 2:
Computed, not measured: an optimized crystal structure of CrIr2Se at the PBE level of DFT.

Properties
E_form (uncorrected)	256	meV/atom
V	14.46	A^3/atom
E_tot	-7.452	eV/atom
DOS(E_F)	17.081	states/eV per cell

a = 2.8323 Å, b = 2.8323 Å, c = 24.9703 Å
α = 90.00°, β = 90.00°, γ = 120.00°
With the nearest neighbours (Å) after each atom.
Space group R3m (No. 160, hexagonal axes)
Symmetry-distinct sites (fractional):
Cr 0.0000 0.0000 0.0000 (multiplicity 3)  3 Se 2.44, 3 Ir 2.60
Ir 0.0000 0.0000 0.2523 (multiplicity 3)  3 Cr 2.60, 9 Ir 2.77-2.83
Ir 0.0000 0.0000 0.4961 (multiplicity 3)  9 Ir 2.77-2.83, 3 Se 2.78
Se 0.0000 0.0000 0.7393 (multiplicity 3)  3 Cr 2.44

Entry 3:
Computed, not measured: an optimized crystal structure of Sm2AlAu3 at the PBE level of DFT.

Properties
V	22.51	A^3/atom
E_tot	-4.598	eV/atom
DFT formation energy	-0.763	eV per atom
DOS(E_F)	28.273	states/eV per cell

a = 7.1381 Å, b = 9.3261 Å, c = 16.2292 Å
α = 90.00°, β = 90.00°, γ = 90.00°
With the nearest neighbours (Å) after each atom.
Space group Fmmm (No. 69)
Symmetry-distinct sites (fractional):
Sm 0.2417 0.0000 0.0000 (multiplicity 8)  10 Au 3.20-3.31, 2 Al 3.27, 1 Sm 3.45
Sm 0.2500 0.2500 0.2500 (multiplicity 8)  8 Au 3.18-3.20, 4 Al 3.23
Al 0.0000 0.0000 0.3333 (multiplicity 8)  3 Au 2.56-2.58
Au 0.0000 0.0000 0.1742 (multiplicity 8)  1 Al 2.58, 2 Au 2.84
Au 0.0000 0.2367 0.4134 (multiplicity 16)  1 Al 2.56, 2 Au 2.81-2.84

Entry 4:
Computed, not measured: an optimized crystal structure of Rb2HoAs2S6 at the PBE level of DFT.

Properties
E_form (uncorrected)	-827	meV/atom
V	29.20	A^3/atom
E_tot	-4.516	eV/atom
DOS(E_F)	7.189	states/eV per cell

a = 12.0440 Å, b = 7.1312 Å, c = 8.4672 Å
α = 90.00°, β = 117.95°, γ = 90.00°
With the nearest neighbours (Å) after each atom.
Space group C2/m (No. 12)
Symmetry-distinct sites (fractional):
Rb 0.2039 0.0000 0.1825 (multiplicity 4)  7 S 3.32-3.64
Ho 0.0000 0.0000 0.5000 (multiplicity 2)  6 S 2.68-2.76
As 0.0516 0.5000 0.1942 (multiplicity 4)  3 S 2.23-2.24
S 0.0462 0.2456 0.7763 (multiplicity 8)  1 As 2.24
S 0.2464 0.0000 0.5995 (multiplicity 4)  1 As 2.23

Entry 5:
Computed, not measured: an optimized crystal structure of Sc2PSe2 at the PBE level of DFT.

Properties
E_form (uncorrected)	-943	meV/atom
V	21.64	A^3/atom
energy above the lowest structure with this stoichiometry	0.0	meV/atom
E_tot	-5.952	eV/atom
DOS(E_F)	4.859	states/eV per cell

a = 5.0583 Å, b = 5.0583 Å, c = 8.4571 Å
α = 90.00°, β = 90.00°, γ = 90.00°
With the nearest neighbours (Å) after each atom.
Space group I4/mmm (No. 139)
Symmetry-distinct sites (fractional):
Sc 0.0000 0.5000 0.2500 (multiplicity 4)  4 Se 2.63
P 0.0000 0.0000 0.0000 (multiplicity 2)  2 Se 2.83
Se 0.0000 0.0000 0.3350 (multiplicity 4)  4 Sc 2.63, 1 Se 2.79, 1 P 2.83

Entry 6:
Computed, not measured: an optimized crystal structure of Ho2Zn16Ga at the PBE level of DFT.

Properties
V	16.11	A^3/atom
E_tot	-1.937	eV/atom
DFT formation energy	-0.223	eV per atom
DOS(E_F)	13.996	states/eV per cell

a = 8.9980 Å, b = 8.9980 Å, c = 13.0992 Å
α = 90.00°, β = 90.00°, γ = 120.00°
With the nearest neighbours (Å) after each atom.
Space group R3m (No. 160, hexagonal axes)
Symmetry-distinct sites (fractional):
Ho 0.0000 0.0000 0.0000 (multiplicity 3)  1 Ga 3.06, 15 Zn 3.14-3.42
Ho 0.0000 0.0000 0.3318 (multiplicity 3)  19 Zn 3.10-3.43
Zn 0.0000 0.0000 0.5686 (multiplicity 3)  1 Ga 2.59, 6 Zn 2.71-2.88
Zn 0.0002 0.3034 0.6657 (multiplicity 18)  8 Zn 2.58-2.74
Zn 0.0057 0.5028 0.1655 (multiplicity 9)  9 Zn 2.58-2.71, 1 Ga 2.78
Zn 0.0103 0.5051 0.8201 (multiplicity 9)  8 Zn 2.53-2.73
Zn 0.1733 0.3466 0.8454 (multiplicity 9)  8 Zn 2.53-2.74
Ga 0.0000 0.0000 0.7662 (multiplicity 3)  7 Zn 2.59-2.89

- Which of these has the highest DOS(E_F)?
  Sm2AlAu3

- Which formula does entry 5 have?
  Sc2PSe2

- Which of these has the lowest DOS(E_F)?
  Sc2PSe2